8
Lattice="3.707 0.000 0.000 -1.811 7.371 0.000 -1.777 -1.885 9.199" Properties=species:S:1:pos:R:3 comment="NaCa2C (PBE, relaxed)" spacegroup="P-1 (2)" magmom_total_mub_per_fu=0.0 pbc="T T T"
Na -0.905 0.953 4.447
Na 1.023 4.534 4.752
Ca -0.878 6.298 1.588
Ca -0.827 2.704 7.737
Ca 0.946 2.783 1.462
Ca 0.996 -0.812 7.611
C -0.902 4.249 0.346
C 1.021 1.237 8.853

4
Lattice="0.000 3.052 3.052 3.052 0.000 3.052 3.052 3.052 0.000" Properties=species:S:1:pos:R:3 comment="NaCaC2 (PBE, relaxed)" spacegroup="Fm-3m (225)" magmom_total_mub_per_fu=0.0 pbc="T T T"
Na 0.000 0.000 0.000
Ca 3.052 3.052 3.052
C 1.526 1.526 1.526
C 4.578 4.578 4.578

8
Lattice="-4.001 4.001 3.692 4.001 -4.001 3.692 4.001 4.001 -3.692" Properties=species:S:1:pos:R:3 comment="NaCa2C (PBE, relaxed)" spacegroup="I-42d (122)" magmom_total_mub_per_fu=0.0 pbc="T T T"
Na 0.000 0.000 0.000
Na 0.000 4.001 1.846
Ca 2.001 3.014 -0.923
Ca 4.988 2.001 0.923
Ca 2.001 0.987 2.769
Ca -0.987 2.001 4.615
C 4.001 0.000 1.846
C 0.000 0.000 3.692

8
Lattice="-1.970 1.970 11.208 1.970 -1.970 11.208 1.970 1.970 -11.208" Properties=species:S:1:pos:R:3 comment="Na2CaC (PBE, relaxed)" spacegroup="I-42d (122)" magmom_total_mub_per_fu=0.8 pbc="T T T"
Na 0.985 0.842 -2.802
Na 1.128 -0.985 14.010
Na 0.985 1.128 8.406
Na 0.842 2.955 2.802
Ca 1.970 0.000 5.604
Ca 0.000 0.000 11.208
C 0.000 0.000 0.000
C 0.000 1.970 5.604

88
Lattice="8.885 0.000 0.000 0.000 12.512 0.000 0.000 0.000 10.183" Properties=species:S:1:pos:R:3 comment="Na2CaC2O6 (PBE, relaxed)" spacegroup="Pbca (61)" e_above_lowest_polymorph_mev_per_atom=0.0 formation_energy_uncorrected_ev_per_atom=-1.978 magmom_total_mub_per_fu=0.0 pbc="T T T"
Na 0.363 1.516 1.639
Na 0.363 4.740 6.731
Na 0.577 1.095 6.103
Na 0.577 5.161 1.012
Na 3.865 7.352 6.103
Na 3.865 11.417 1.012
Na 4.080 7.773 1.639
Na 4.080 10.996 6.731
Na 4.805 1.516 3.452
Na 4.805 4.740 8.544
Na 5.019 1.095 9.171
Na 5.019 5.161 4.080
Na 8.308 7.352 9.171
Na 8.308 11.417 4.080
Na 8.522 7.773 3.452
Na 8.522 10.996 8.544
Ca 1.835 2.711 8.948
Ca 1.835 3.546 3.856
Ca 2.608 8.967 8.948
Ca 2.608 9.802 3.856
Ca 6.277 2.711 6.327
Ca 6.277 3.546 1.235
Ca 7.050 8.967 6.327
Ca 7.050 9.802 1.235
C 1.118 9.042 6.371
C 1.118 9.726 1.280
C 2.168 0.104 3.851
C 2.168 6.153 8.943
C 2.275 6.360 3.851
C 2.275 12.409 8.943
C 3.325 2.786 6.371
C 3.325 3.470 1.280
C 5.560 9.042 8.903
C 5.560 9.726 3.812
C 6.610 0.104 1.240
C 6.610 6.153 6.332
C 6.717 6.360 1.240
C 6.717 12.409 6.332
C 7.767 2.786 8.903
C 7.767 3.470 3.812
O 0.425 8.979 5.280
O 0.425 9.789 0.188
O 0.524 9.001 7.528
O 0.524 9.768 2.436
O 1.232 0.298 8.281
O 1.232 5.958 3.190
O 1.595 1.243 3.615
O 1.595 5.013 8.706
O 1.667 6.938 9.863
O 1.667 11.830 4.772
O 2.032 2.907 6.322
O 2.032 3.350 1.230
O 2.411 9.163 6.322
O 2.411 9.606 1.230
O 2.775 0.682 9.863
O 2.775 5.574 4.772
O 2.848 7.499 3.615
O 2.848 11.269 8.706
O 3.210 6.554 8.281
O 3.210 12.215 3.190
O 3.919 2.744 7.528
O 3.919 3.512 2.436
O 4.017 2.723 5.280
O 4.017 3.533 0.188
O 4.867 8.979 9.995
O 4.867 9.789 4.903
O 4.966 9.001 7.747
O 4.966 9.768 2.655
O 5.675 0.298 6.994
O 5.675 5.958 1.902
O 6.037 1.243 1.477
O 6.037 5.013 6.568
O 6.110 6.938 5.411
O 6.110 11.830 0.320
O 6.474 2.907 8.953
O 6.474 3.350 3.862
O 6.853 9.163 8.953
O 6.853 9.606 3.862
O 7.217 0.682 5.411
O 7.217 5.574 0.320
O 7.290 7.499 1.477
O 7.290 11.269 6.568
O 7.652 6.554 6.994
O 7.652 12.215 1.902
O 8.361 2.744 7.747
O 8.361 3.512 2.655
O 8.460 2.723 9.995
O 8.460 3.533 4.903

16
Lattice="2.562 -4.390 0.000 2.562 4.390 0.000 0.000 0.000 10.369" Properties=species:S:1:pos:R:3 comment="Na2CaC2O3 (PBE, relaxed)" spacegroup="Cmcm (63)" formation_energy_uncorrected_ev_per_atom=-0.903 magmom_total_mub_per_fu=2.0 pbc="T T T"
Na 2.562 2.776 5.997
Na 2.562 2.776 9.556
Na 2.562 -2.776 0.813
Na 2.562 -2.776 4.371
Ca 2.562 0.168 2.592
Ca 2.562 -0.168 7.777
C 2.562 3.089 2.592
C 2.562 0.000 0.000
C 2.562 0.000 5.184
C 2.562 -3.089 7.777
O 2.562 4.386 2.592
O 2.562 -4.386 7.777
O 1.440 2.441 2.592
O 3.684 2.441 2.592
O 1.440 -2.441 7.777
O 3.684 -2.441 7.777

Going through the records in order, we get E values of -3.590, -3.875, -3.138, -2.514, -6.781, -5.648 eV per atom.